No. 1
DFT (GGA-PBE) results for a geometry-optimized La2Ce5Os4 structure.

## Properties
**Magnetic moment**: 0.0 Bohr magnetons per cell
**D(E_F)**: 1.397 states/eV per atom
**Final energy**: -84.8 eV/cell

CIF file:
```
data_La2Ce5Os4
_chemical_formula_sum 'La2 Ce5 Os4'
_cell_length_a 6.449
_cell_length_b 7.429
_cell_length_c 7.048
_cell_angle_alpha 83.15
_cell_angle_beta 62.77
_cell_angle_gamma 64.28
_space_group_name_H-M_alt 'P 1'
_space_group_IT_number 1
_space_group_name_Hall 'P 1'
loop_
_atom_site_label
_atom_site_fract_x
_atom_site_fract_y
_atom_site_fract_z
_atom_site_occupancy
Os1 0.286 0.113 0.316 1
Os2 0.781 0.514 0.924 1
Os3 0.219 0.486 0.076 1
Os4 0.714 0.887 0.684 1
Ce1 0.761 0.175 0.807 1
Ce2 0.239 0.825 0.193 1
Ce3 0.000 0.500 0.500 1
Ce4 0.257 0.175 0.807 1
Ce5 0.743 0.825 0.193 1
La1 0.698 0.296 0.307 1
La2 0.302 0.704 0.693 1
```

No. 2
DFT (GGA-PBE) results for a geometry-optimized Sc2AgF8 structure.

## Properties
**Magnetic moment**: 1.0 Bohr magnetons per cell
**Final energy**: -63.6 eV/cell

CIF file:
```
data_Sc2AgF8
_chemical_formula_sum 'Sc2 Ag1 F8'
_cell_length_a 3.999
_cell_length_b 6.935
_cell_length_c 6.935
_cell_angle_alpha 83.52
_cell_angle_beta 67.72
_cell_angle_gamma 67.72
_space_group_name_H-M_alt 'P 1'
_space_group_IT_number 1
_space_group_name_Hall 'P 1'
loop_
_atom_site_label
_atom_site_fract_x
_atom_site_fract_y
_atom_site_fract_z
_atom_site_occupancy
F1 0.017 0.970 0.271 1
F2 0.205 0.354 0.354 1
F3 0.500 0.646 0.354 1
F4 0.795 0.646 0.646 1
F5 0.500 0.354 0.646 1
F6 0.017 0.271 0.970 1
F7 0.983 0.729 0.030 1
F8 0.983 0.030 0.729 1
Sc1 0.000 0.326 0.674 1
Sc2 0.000 0.674 0.326 1
Ag1 0.500 0.000 0.000 1
```